CdCuRu4 (GGA-PBE, optimized geometry); total DFT energy (no corrections) = -38.4 eV for the cell shown; total moment = 2.5 μB/f.u.; Fermi-level density of states = 8.97 states/eV/cell
1.0
-4.5696 0.1091 2.3467
-2.1002 4.4978 1.3263
-4.1335 1.7434 -2.5050
Ru Cu Cd
4 1 1
Direct
0.6254 0.1239 0.6254 Ru
0.6254 0.6254 0.6254 Ru
0.6254 0.6254 0.1239 Ru
0.1239 0.6254 0.6254 Ru
0.0000 0.0000 0.0000 Cu
0.2500 0.2500 0.2500 Cd